[1]
# MgNpPdRh | Alexandria | PBE | relaxed
# total magnetic moment: 14.291 μB per cell
# Fermi-level density of states: 29.490 states/eV per cell
# crystal system: cubic
# ΔH_f (0 K): -0.33 eV per atom
data_MgNpPdRh
_chemical_formula_sum 'Mg4 Np4 Pd4 Rh4'
_cell_length_a 6.678
_cell_length_b 6.678
_cell_length_c 6.678
_cell_angle_alpha 90.00
_cell_angle_beta 90.00
_cell_angle_gamma 90.00
_symmetry_space_group_name_H-M 'F -4 3 m'
_symmetry_Int_Tables_number 216
_symmetry_space_group_name_Hall 'F -4 2 3'
loop_
_atom_site_label
_atom_site_type_symbol
_atom_site_fract_x
_atom_site_fract_y
_atom_site_fract_z
Mg1 Mg 0.000 0.000 0.000
Np1 Np 0.000 0.000 0.500
Pd1 Pd 0.250 0.250 0.250
Rh1 Rh 0.250 0.250 0.750

=====

[2]
# DyErZrIn | Alexandria | PBE | relaxed
# total magnetic moment: 10.544 μB per cell
# Fermi-level density of states: 11.760 states/eV per cell
# crystal system: cubic
# ΔH_f (0 K): -0.07 eV per atom
data_DyErZrIn
_chemical_formula_sum 'Dy4 Er4 Zr4 In4'
_cell_length_a 7.522
_cell_length_b 7.522
_cell_length_c 7.522
_cell_angle_alpha 90.00
_cell_angle_beta 90.00
_cell_angle_gamma 90.00
_symmetry_space_group_name_H-M 'F -4 3 m'
_symmetry_Int_Tables_number 216
_symmetry_space_group_name_Hall 'F -4 2 3'
loop_
_atom_site_label
_atom_site_type_symbol
_atom_site_fract_x
_atom_site_fract_y
_atom_site_fract_z
Dy1 Dy 0.000 0.000 0.000
Er1 Er 0.000 0.000 0.500
Zr1 Zr 0.250 0.250 0.750
In1 In 0.250 0.250 0.250

=====

[3]
# ZrRe2Ru | Alexandria | PBE | relaxed
# total magnetic moment: 0.001 μB per cell
# energy above the most stable polymorph in this dataset: 195.8 meV per atom
# Fermi-level density of states: 4.834 states/eV per cell
# crystal system: tetragonal
# ΔH_f (0 K): 0.17 eV per atom
data_ZrRe2Ru
_chemical_formula_sum 'Zr1 Re2 Ru1'
_cell_length_a 4.538
_cell_length_b 4.538
_cell_length_c 3.144
_cell_angle_alpha 90.00
_cell_angle_beta 90.00
_cell_angle_gamma 90.00
_symmetry_space_group_name_H-M 'P 4/m m m'
_symmetry_Int_Tables_number 123
_symmetry_space_group_name_Hall '-P 4 2'
loop_
_atom_site_label
_atom_site_type_symbol
_atom_site_fract_x
_atom_site_fract_y
_atom_site_fract_z
Zr1 Zr 0.000 0.000 0.000
Re1 Re 0.000 0.500 0.500
Ru1 Ru 0.500 0.500 0.000

=====

[4]
# Er5CdSe4 | Alexandria | PBE | relaxed
# total magnetic moment: 0.000 μB per cell
# Fermi-level density of states: 6.044 states/eV per cell
# crystal system: tetragonal
# ΔE_f (raw): -1.40 eV per atom
data_Er5CdSe4
_chemical_formula_sum 'Er10 Cd2 Se8'
_cell_length_a 9.158
_cell_length_b 9.158
_cell_length_c 5.794
_cell_angle_alpha 90.00
_cell_angle_beta 90.00
_cell_angle_gamma 90.00
_symmetry_space_group_name_H-M 'I 4/m'
_symmetry_Int_Tables_number 87
_symmetry_space_group_name_Hall '-I 4'
loop_
_atom_site_label
_atom_site_type_symbol
_atom_site_fract_x
_atom_site_fract_y
_atom_site_fract_z
Er1 Er 0.000 0.000 0.000
Er2 Er 0.101 0.304 0.500
Cd1 Cd 0.000 0.000 0.500
Se1 Se 0.099 0.303 0.000

=====

[5]
# MgCd8Ag2 | Alexandria | PBE | relaxed
# total magnetic moment: 0.000 μB per cell
# Fermi-level density of states: 6.081 states/eV per cell
# crystal system: monoclinic
# ΔH_f (0 K): 0.00 eV per atom
data_MgCd8Ag2
_chemical_formula_sum 'Mg2 Cd16 Ag4'
_cell_length_a 5.573
_cell_length_b 20.216
_cell_length_c 5.182
_cell_angle_alpha 90.00
_cell_angle_beta 121.59
_cell_angle_gamma 90.00
_symmetry_space_group_name_H-M 'C 1 2/m 1'
_symmetry_Int_Tables_number 12
loop_
_symmetry_equiv_pos_as_xyz
'x,y,z'
'-x,-y,-z'
'-x,y,-z'
'x,-y,z'
'x+1/2,y+1/2,z'
'-x+1/2,-y+1/2,-z'
'-x+1/2,y+1/2,-z'
'x+1/2,-y+1/2,z'
loop_
_atom_site_label
_atom_site_type_symbol
_atom_site_fract_x
_atom_site_fract_y
_atom_site_fract_z
Mg1 Mg 0.000 0.000 0.000
Cd1 Cd 0.000 0.322 0.000
Cd2 Cd 0.160 0.500 0.322
Cd3 Cd 0.166 0.129 0.328
Ag1 Ag 0.000 0.250 0.500

=====

[6]
# LaSbN2 | Alexandria | PBE | relaxed
# total magnetic moment: 0.000 μB per cell
# Fermi-level density of states: 5.010 states/eV per cell
# crystal system: trigonal
# ΔE_f (raw): 0.27 eV per atom
data_LaSbN2
_chemical_formula_sum 'La3 Sb3 N6'
_cell_length_a 3.3667
_cell_length_b 3.3667
_cell_length_c 21.3219
_cell_angle_alpha 90.00
_cell_angle_beta 90.00
_cell_angle_gamma 120.00
_symmetry_space_group_name_H-M 'R -3 m'
_symmetry_Int_Tables_number 166
_symmetry_space_group_name_Hall '-R 3 2"'
loop_
_atom_site_label
_atom_site_type_symbol
_atom_site_fract_x
_atom_site_fract_y
_atom_site_fract_z
La1 La 0.0000 0.0000 0.0000
Sb1 Sb 0.0000 0.0000 0.5000
N1 N 0.0000 0.0000 0.1153

=====

[7]
# SrNbAl2 | Alexandria | PBE | relaxed
# total magnetic moment: 4.580 μB per cell
# energy above the most stable polymorph in this dataset: 285.6 meV per atom
# Fermi-level density of states: 7.699 states/eV per cell
# crystal system: tetragonal
# ΔH_f (0 K): 0.57 eV per atom
data_SrNbAl2
_chemical_formula_sum 'Sr4 Nb4 Al8'
_cell_length_a 4.954
_cell_length_b 4.954
_cell_length_c 18.955
_cell_angle_alpha 90.00
_cell_angle_beta 90.00
_cell_angle_gamma 90.00
_symmetry_space_group_name_H-M 'I -4 2 d'
_symmetry_Int_Tables_number 122
_symmetry_space_group_name_Hall 'I -4 2bw'
loop_
_atom_site_label
_atom_site_type_symbol
_atom_site_fract_x
_atom_site_fract_y
_atom_site_fract_z
Sr1 Sr 0.000 0.000 0.000
Nb1 Nb 0.000 0.000 0.500
Al1 Al 0.079 0.250 0.625

=====

[8]
# NdMgScAg | Alexandria | PBE | relaxed
# total magnetic moment: 0.001 μB per cell
# energy above the most stable polymorph in this dataset: 0.0 meV per atom
# Fermi-level density of states: 4.379 states/eV per cell
# crystal system: tetragonal
# ΔH_f (0 K): -0.15 eV per atom
data_NdMgScAg
_chemical_formula_sum 'Nd1 Mg1 Sc1 Ag1'
_cell_length_a 3.668
_cell_length_b 3.668
_cell_length_c 7.306
_cell_angle_alpha 90.00
_cell_angle_beta 90.00
_cell_angle_gamma 90.00
_symmetry_space_group_name_H-M 'P 4 m m'
_symmetry_Int_Tables_number 99
loop_
_symmetry_equiv_pos_as_xyz
'x,y,z'
'-y,x,z'
'-x,-y,z'
'y,-x,z'
'-x,y,z'
'y,x,z'
'x,-y,z'
'-y,-x,z'
loop_
_atom_site_label
_atom_site_type_symbol
_atom_site_fract_x
_atom_site_fract_y
_atom_site_fract_z
Nd1 Nd 0.000 0.000 0.000
Mg1 Mg 0.500 0.500 0.712
Sc1 Sc 0.000 0.000 0.481
Ag1 Ag 0.500 0.500 0.281

=====

[9]
# TaTc2Ru | Alexandria | PBE | relaxed
# total magnetic moment: 0.000 μB per cell
# energy above the most stable polymorph in this dataset: 46.6 meV per atom
# Fermi-level density of states: 4.633 states/eV per cell
# crystal system: monoclinic
# ΔH_f (0 K): -0.01 eV per atom
data_TaTc2Ru
_chemical_formula_sum 'Ta1 Tc2 Ru1'
_cell_length_a 2.767
_cell_length_b 4.269
_cell_length_c 5.364
_cell_angle_alpha 90.00
_cell_angle_beta 103.81
_cell_angle_gamma 90.00
_symmetry_space_group_name_H-M 'P 1 m 1'
_symmetry_Int_Tables_number 6
loop_
_symmetry_equiv_pos_as_xyz
'x,y,z'
'x,-y,z'
loop_
_atom_site_label
_atom_site_type_symbol
_atom_site_fract_x
_atom_site_fract_y
_atom_site_fract_z
Ta1 Ta 0.000 0.000 0.000
Tc1 Tc 0.524 0.000 0.493
Tc2 Tc 0.841 0.500 0.265
Ru1 Ru 0.183 0.500 0.765

=====

[10]
# ReW3 | Alexandria | PBE | relaxed
# total magnetic moment: 0.000 μB per cell
# energy above the most stable polymorph in this dataset: 319.1 meV per atom
# Fermi-level density of states: 14.275 states/eV per cell
# crystal system: trigonal
# ΔH_f (0 K): 0.34 eV per atom
data_ReW3
_chemical_formula_sum 'Re3 W9'
_cell_length_a 2.8301
_cell_length_b 2.8301
_cell_length_c 27.8663
_cell_angle_alpha 90.00
_cell_angle_beta 90.00
_cell_angle_gamma 120.00
_symmetry_space_group_name_H-M 'R -3 m'
_symmetry_Int_Tables_number 166
_symmetry_space_group_name_Hall '-R 3 2"'
loop_
_atom_site_label
_atom_site_type_symbol
_atom_site_fract_x
_atom_site_fract_y
_atom_site_fract_z
Re1 Re 0.0000 0.0000 0.0000
W1 W 0.0000 0.0000 0.2529
W2 W 0.0000 0.0000 0.5000

=====

[11]
# ErTlTe2O8 | Alexandria | PBE | relaxed
# total magnetic moment: 0.059 μB per cell
# Fermi-level density of states: 0.000 states/eV per cell
# crystal system: trigonal
# ΔE_f (raw): -1.41 eV per atom
data_ErTlTe2O8
_chemical_formula_sum 'Er1 Tl1 Te2 O8'
_cell_length_a 5.8564
_cell_length_b 5.8564
_cell_length_c 8.1119
_cell_angle_alpha 90.00
_cell_angle_beta 90.00
_cell_angle_gamma 120.00
_symmetry_space_group_name_H-M 'P -3'
_symmetry_Int_Tables_number 147
loop_
_symmetry_equiv_pos_as_xyz
'x,y,z'
'-x,-y,-z'
'-y,x-y,z'
'y,-x+y,-z'
'-x+y,-x,z'
'x-y,x,-z'
loop_
_atom_site_label
_atom_site_type_symbol
_atom_site_fract_x
_atom_site_fract_y
_atom_site_fract_z
Er1 Er 0.0000 0.0000 0.0000
Tl1 Tl 0.0000 0.0000 0.5000
Te1 Te 0.3333 0.6667 0.2489
O1 O 0.0977 0.3354 0.1692
O2 O 0.3333 0.6667 0.4730

=====

[12]
# Zr4GeTe4 | Alexandria | PBE | relaxed
# total magnetic moment: 0.000 μB per cell
# Fermi-level density of states: 7.281 states/eV per cell
# crystal system: monoclinic
# ΔE_f (raw): -0.87 eV per atom
data_Zr4GeTe4
_chemical_formula_sum 'Zr8 Ge2 Te8'
_cell_length_a 13.733
_cell_length_b 3.996
_cell_length_c 10.075
_cell_angle_alpha 90.00
_cell_angle_beta 120.58
_cell_angle_gamma 90.00
_symmetry_space_group_name_H-M 'C 1 2/m 1'
_symmetry_Int_Tables_number 12
loop_
_symmetry_equiv_pos_as_xyz
'x,y,z'
'-x,-y,-z'
'-x,y,-z'
'x,-y,z'
'x+1/2,y+1/2,z'
'-x+1/2,-y+1/2,-z'
'-x+1/2,y+1/2,-z'
'x+1/2,-y+1/2,z'
loop_
_atom_site_label
_atom_site_type_symbol
_atom_site_fract_x
_atom_site_fract_y
_atom_site_fract_z
Zr1 Zr 0.084 0.000 0.414
Zr2 Zr 0.182 0.500 0.774
Ge1 Ge 0.000 0.500 0.500
Te1 Te 0.102 0.000 0.909
Te2 Te 0.192 0.500 0.298